Computed, not measured: La2Ce3TmP6 after structural relaxation at the PBE level of DFT.

**Formation enthalpy at 0 K**: -1525 meV per atom
**Density of states at the Fermi level**: 14.67 states/eV/f.u.

Cell and atoms, written as CIF:
```
data_La2Ce3TmP6
_chemical_formula_sum 'La4 Ce6 Tm2 P12'
_cell_length_a 7.1531
_cell_length_b 12.3899
_cell_length_c 7.1502
_cell_angle_alpha 90.00
_cell_angle_beta 109.52
_cell_angle_gamma 90.00
_space_group_name_H-M_alt 'C 1 2/m 1'
_space_group_IT_number 12
loop_
_space_group_symop_operation_xyz
'x,y,z'
'-x,-y,-z'
'-x,y,-z'
'x,-y,z'
'x+1/2,y+1/2,z'
'-x+1/2,-y+1/2,-z'
'-x+1/2,y+1/2,-z'
'x+1/2,-y+1/2,z'
loop_
_atom_site_label
_atom_site_fract_x
_atom_site_fract_y
_atom_site_fract_z
La1 0.0000 0.1661 0.0000
Ce1 0.0000 0.0000 0.5000
Ce2 0.0000 0.3318 0.5000
Tm1 0.0000 0.5000 0.0000
P1 0.2369 0.5000 0.7429
P2 0.2465 0.3384 0.2554
```

Computed, not measured: La2CeTm3P6 after structural relaxation at the PBE level of DFT.

**Formation enthalpy at 0 K**: -1563 meV per atom
**Density of states at the Fermi level**: 5.59 states/eV/f.u.

Cell and atoms, written as CIF:
```
data_La2CeTm3P6
_chemical_formula_sum 'La4 Ce2 Tm6 P12'
_cell_length_a 17.7581
_cell_length_b 4.0851
_cell_length_c 8.1591
_cell_angle_alpha 90.00
_cell_angle_beta 103.07
_cell_angle_gamma 90.00
_space_group_name_H-M_alt 'C 1 2/m 1'
_space_group_IT_number 12
loop_
_space_group_symop_operation_xyz
'x,y,z'
'-x,-y,-z'
'-x,y,-z'
'x,-y,z'
'x+1/2,y+1/2,z'
'-x+1/2,-y+1/2,-z'
'-x+1/2,y+1/2,-z'
'x+1/2,-y+1/2,z'
loop_
_atom_site_label
_atom_site_fract_x
_atom_site_fract_y
_atom_site_fract_z
La1 0.1665 0.0000 0.3339
Ce1 0.0000 0.5000 0.0000
Tm1 0.0000 0.5000 0.5000
Tm2 0.1672 0.0000 0.8339
P1 0.0042 0.0000 0.7489
P2 0.1624 0.5000 0.5939
P3 0.1672 0.5000 0.0716
```

Computed, not measured: LaCe2Tm3P6 after structural relaxation at the PBE level of DFT.

**Formation enthalpy at 0 K**: -1556 meV per atom
**Density of states at the Fermi level**: 10.06 states/eV/f.u.

Cell and atoms, written as CIF:
```
data_LaCe2Tm3P6
_chemical_formula_sum 'La2 Ce4 Tm6 P12'
_cell_length_a 7.0215
_cell_length_b 12.1605
_cell_length_c 6.9921
_cell_angle_alpha 90.00
_cell_angle_beta 109.56
_cell_angle_gamma 90.00
_space_group_name_H-M_alt 'C 1 2/m 1'
_space_group_IT_number 12
loop_
_space_group_symop_operation_xyz
'x,y,z'
'-x,-y,-z'
'-x,y,-z'
'x,-y,z'
'x+1/2,y+1/2,z'
'-x+1/2,-y+1/2,-z'
'-x+1/2,y+1/2,-z'
'x+1/2,-y+1/2,z'
loop_
_atom_site_label
_atom_site_fract_x
_atom_site_fract_y
_atom_site_fract_z
La1 0.0000 0.0000 0.0000
Ce1 0.0000 0.3330 0.0000
Tm1 0.0000 0.1653 0.5000
Tm2 0.0000 0.5000 0.5000
P1 0.2430 0.3298 0.7399
P2 0.2466 0.5000 0.2608
```

Computed, not measured: La3Ce2UP6 after structural relaxation at the PBE level of DFT.

**Formation enthalpy at 0 K**: -1433 meV per atom
**Density of states at the Fermi level**: 16.83 states/eV/f.u.

Cell and atoms, written as CIF:
```
data_La3Ce2UP6
_chemical_formula_sum 'La6 Ce4 U2 P12'
_cell_length_a 18.1310
_cell_length_b 4.1360
_cell_length_c 8.3395
_cell_angle_alpha 90.00
_cell_angle_beta 103.71
_cell_angle_gamma 90.00
_space_group_name_H-M_alt 'C 1 2/m 1'
_space_group_IT_number 12
loop_
_space_group_symop_operation_xyz
'x,y,z'
'-x,-y,-z'
'-x,y,-z'
'x,-y,z'
'x+1/2,y+1/2,z'
'-x+1/2,-y+1/2,-z'
'-x+1/2,y+1/2,-z'
'x+1/2,-y+1/2,z'
loop_
_atom_site_label
_atom_site_fract_x
_atom_site_fract_y
_atom_site_fract_z
La1 0.0000 0.0000 0.0000
La2 0.1680 0.5000 0.3329
Ce1 0.1658 0.5000 0.8329
U1 0.0000 0.0000 0.5000
P1 0.0015 0.5000 0.7331
P2 0.1597 0.0000 0.5875
P3 0.1698 0.0000 0.0764
```

Computed, not measured: La3Ce2YP6 after structural relaxation at the PBE level of DFT.

**Formation enthalpy at 0 K**: -1557 meV per atom
**Density of states at the Fermi level**: 10.26 states/eV/f.u.

Cell and atoms, written as CIF:
```
data_La3Ce2YP6
_chemical_formula_sum 'La6 Ce4 Y2 P12'
_cell_length_a 7.2065
_cell_length_b 12.4824
_cell_length_c 7.2324
_cell_angle_alpha 90.00
_cell_angle_beta 109.40
_cell_angle_gamma 90.00
_space_group_name_H-M_alt 'C 1 2/m 1'
_space_group_IT_number 12
loop_
_space_group_symop_operation_xyz
'x,y,z'
'-x,-y,-z'
'-x,y,-z'
'x,-y,z'
'x+1/2,y+1/2,z'
'-x+1/2,-y+1/2,-z'
'-x+1/2,y+1/2,-z'
'x+1/2,-y+1/2,z'
loop_
_atom_site_label
_atom_site_fract_x
_atom_site_fract_y
_atom_site_fract_z
La1 0.0000 0.0000 0.0000
La2 0.0000 0.3334 0.0000
Ce1 0.0000 0.1667 0.5000
Y1 0.0000 0.5000 0.5000
P1 0.2455 0.0000 0.7370
P2 0.2455 0.3332 0.7362
```

Computed, not measured: La2CeYP4 after structural relaxation at the PBE level of DFT.

**Formation enthalpy at 0 K**: -1565 meV per atom
**Density of states at the Fermi level**: 5.69 states/eV/f.u.

Cell and atoms, written as CIF:
```
data_La2CeYP4
_chemical_formula_sum 'La2 Ce1 Y1 P4'
_cell_length_a 7.1885
_cell_length_b 4.1604
_cell_length_c 7.2190
_cell_angle_alpha 90.00
_cell_angle_beta 109.38
_cell_angle_gamma 90.00
_space_group_name_H-M_alt 'P 1 2/m 1'
_space_group_IT_number 10
loop_
_space_group_symop_operation_xyz
'x,y,z'
'-x,-y,-z'
'-x,y,-z'
'x,-y,z'
loop_
_atom_site_label
_atom_site_fract_x
_atom_site_fract_y
_atom_site_fract_z
La1 0.0000 0.0000 0.0000
La2 0.5000 0.5000 0.0000
Ce1 0.0000 0.5000 0.5000
Y1 0.5000 0.0000 0.5000
P1 0.2460 0.0000 0.7364
P2 0.2542 0.5000 0.2636
```

Computed, not measured: LaCe2Pa after structural relaxation at the PBE level of DFT.

**Formation enthalpy at 0 K**: 119 meV per atom
**Density of states at the Fermi level**: 10.26 states/eV/f.u.

Cell and atoms, written as CIF:
```
data_LaCe2Pa
_chemical_formula_sum 'La3 Ce6 Pa3'
_cell_length_a 3.3448
_cell_length_b 3.3448
_cell_length_c 34.4535
_cell_angle_alpha 90.00
_cell_angle_beta 90.00
_cell_angle_gamma 120.00
_space_group_name_H-M_alt 'R 3 m'
_space_group_IT_number 160
_space_group_name_Hall 'R 3 -2"'
loop_
_atom_site_label
_atom_site_fract_x
_atom_site_fract_y
_atom_site_fract_z
La1 0.0000 0.0000 0.0000
Ce1 0.0000 0.0000 0.4187
Ce2 0.0000 0.0000 0.5793
Pa1 0.0000 0.0000 0.8320
```

Computed, not measured: La2CePa after structural relaxation at the PBE level of DFT.

**Formation enthalpy at 0 K**: 313 meV per atom
**Density of states at the Fermi level**: 7.71 states/eV/f.u.

Cell and atoms, written as CIF:
```
data_La2CePa
_chemical_formula_sum 'La6 Ce3 Pa3'
_cell_length_a 3.3389
_cell_length_b 3.3389
_cell_length_c 36.5489
_cell_angle_alpha 90.00
_cell_angle_beta 90.00
_cell_angle_gamma 120.00
_space_group_name_H-M_alt 'R -3 m'
_space_group_IT_number 166
_space_group_name_Hall '-R 3 2"'
loop_
_atom_site_label
_atom_site_fract_x
_atom_site_fract_y
_atom_site_fract_z
La1 0.0000 0.0000 0.0865
Ce1 0.0000 0.0000 0.5000
Pa1 0.0000 0.0000 0.0000
```

Computed, not measured: LaCe6Pa2 after structural relaxation at the PBE level of DFT.

**Formation enthalpy at 0 K**: 481 meV per atom
**Density of states at the Fermi level**: 27.16 states/eV/f.u.

Cell and atoms, written as CIF:
```
data_LaCe6Pa2
_chemical_formula_sum 'La1 Ce6 Pa2'
_cell_length_a 5.3700
_cell_length_b 5.3700
_cell_length_c 11.1198
_cell_angle_alpha 90.00
_cell_angle_beta 90.00
_cell_angle_gamma 120.00
_space_group_name_H-M_alt 'P -3 1 m'
_space_group_IT_number 162
_space_group_name_Hall '-P 3 2'
loop_
_atom_site_label
_atom_site_fract_x
_atom_site_fract_y
_atom_site_fract_z
La1 0.0000 0.0000 0.0000
Ce1 0.0000 0.3303 0.2699
Pa1 0.3333 0.6667 0.5000
```

Computed, not measured: LaCePa2 after structural relaxation at the PBE level of DFT.

**Formation enthalpy at 0 K**: 180 meV per atom
**Density of states at the Fermi level**: 7.88 states/eV/f.u.

Cell and atoms, written as CIF:
```
data_LaCePa2
_chemical_formula_sum 'La1 Ce1 Pa2'
_cell_length_a 4.6094
_cell_length_b 4.6094
_cell_length_c 5.0074
_cell_angle_alpha 90.00
_cell_angle_beta 90.00
_cell_angle_gamma 90.00
_space_group_name_H-M_alt 'P 4/m m m'
_space_group_IT_number 123
_space_group_name_Hall '-P 4 2'
loop_
_atom_site_label
_atom_site_fract_x
_atom_site_fract_y
_atom_site_fract_z
La1 0.0000 0.0000 0.0000
Ce1 0.5000 0.5000 0.0000
Pa1 0.0000 0.5000 0.5000
```

Computed, not measured: LaCePa2 after structural relaxation at the PBE level of DFT.

**Formation enthalpy at 0 K**: 167 meV per atom
**Density of states at the Fermi level**: 8.29 states/eV/f.u.

Cell and atoms, written as CIF:
```
data_LaCePa2
_chemical_formula_sum 'La1 Ce1 Pa2'
_cell_length_a 3.2846
_cell_length_b 3.2846
_cell_length_c 9.9143
_cell_angle_alpha 90.00
_cell_angle_beta 90.00
_cell_angle_gamma 90.00
_space_group_name_H-M_alt 'P 4/m m m'
_space_group_IT_number 123
_space_group_name_Hall '-P 4 2'
loop_
_atom_site_label
_atom_site_fract_x
_atom_site_fract_y
_atom_site_fract_z
La1 0.0000 0.0000 0.0000
Ce1 0.0000 0.0000 0.5000
Pa1 0.5000 0.5000 0.2588
```